1.
A PBEsol-optimized structure of Sc2PdPbI. Source: Alexandria via LeMat-Bulk, functional SCAN.

Cell: 5.228 5.228 4.876 Å, 90.00 90.00 90.00°
Fractional positions:
Sc  0.000  0.500  0.000
Sc  0.500  0.000  0.000
Pd  0.000  0.000  0.500
Pb  0.500  0.500  0.500
I  0.000  0.000  0.000

## Properties
ΔE_f (raw) = 13.2 kJ per mole of atoms

***

2.
A PBEsol-optimized structure of CdAgSb2. Source: Alexandria via LeMat-Bulk, functional SCAN.

Cell: 10.432 10.432 10.432 Å, 17.78 17.78 17.78°
Fractional positions:
Cd  0.000  0.000  0.000
Ag  0.500  0.500  0.500
Sb  0.243  0.243  0.243
Sb  0.757  0.757  0.757

## Properties
polymorph energy (0 for the lowest one) = 0.7 kJ/mol of atoms
ΔE_f (raw) = 18.7 kJ per mole of atoms

***

3.
A PBEsol-optimized structure of NaZnIn2C. Source: Alexandria via LeMat-Bulk, functional SCAN.

Cell: 4.611 4.611 4.800 Å, 90.00 90.00 90.00°
Fractional positions:
Na  0.000  0.000  0.000
Zn  0.500  0.500  0.000
In  0.000  0.500  0.500
In  0.500  0.000  0.500
C  0.000  0.000  0.500

## Properties
energy = -18.200 eV/atom

***

4.
A PBEsol-optimized structure of Ba2AlHg. Source: Alexandria via LeMat-Bulk, functional SCAN.

Cell: 5.792 5.792 5.792 Å, 60.00 60.00 60.00°
Fractional positions:
Ba  0.250  0.250  0.250
Ba  0.750  0.750  0.750
Al  0.000  0.000  0.000
Hg  0.500  0.500  0.500

## Properties
polymorph energy (0 for the lowest one) = 3.4 kJ/mol of atoms

***

5.
A PBEsol-optimized structure of Tl2ZnOs. Source: Alexandria via LeMat-Bulk, functional SCAN.

Cell: 4.218 5.441 5.441 Å, 37.53 90.00 90.00°
Fractional positions:
Tl  0.000  0.000  0.000
Tl  0.500  0.307  0.307
Zn  0.500  0.586  0.586
Os  0.000  0.726  0.726

## Properties
polymorph energy (0 for the lowest one) = 0.0 kJ/mol of atoms

***

6.
A PBEsol-optimized structure of CoAg2Sb. Source: Alexandria via LeMat-Bulk, functional SCAN.

Cell: 3.118 3.118 6.873 Å, 90.00 90.00 90.00°
Fractional positions:
Co  0.000  0.000  0.000
Ag  0.000  0.000  0.517
Ag  0.500  0.500  0.765
Sb  0.500  0.500  0.195

## Properties
ΔE_f (raw) = 25.7 kJ per mole of atoms

***

7.
A PBEsol-optimized structure of Ba2AsH2. Source: Alexandria via LeMat-Bulk, functional SCAN.

Cell: 7.844 7.844 7.844 Å, 150.05 150.05 42.86°
Fractional positions:
Ba  0.139  0.139  0.000
Ba  0.861  0.861  0.000
As  0.500  0.500  0.000
H  0.250  0.750  0.500
H  0.750  0.250  0.500

## Properties
energy = -21.970 eV/atom

***

8.
A PBEsol-optimized structure of ScTcOs2. Source: Alexandria via LeMat-Bulk, functional SCAN.

Cell: 4.642 4.642 4.642 Å, 128.20 128.20 76.29°
Fractional positions:
Sc  0.000  0.000  0.000
Tc  0.500  0.500  0.000
Os  0.250  0.750  0.500
Os  0.750  0.250  0.500

## Properties
polymorph energy (0 for the lowest one) = 1.6 kJ/mol of atoms